DFT (PBE) results for a relaxed ReNi2W crystal.

a = 4.646 Å, b = 4.646 Å, c = 2.623 Å
α = 90.00°, β = 90.00°, γ = 111.13°
Element x y z (fractional)
Re: 0.000 0.000 0.000
Ni: 0.000 0.500 0.500
Ni: 0.500 0.000 0.500
W: 0.500 0.500 0.000

Values from the calculation:
As for the size of the total moment: 0.00 μB/atom. As for the space-group type: Cmmm, No. 65. As for the formation energy: 57 meV/atom. Its total DFT energy (no corrections) is -9.1841 eV per atom. As for the crystal system: orthorhombic.

DFT (PBE) results for a relaxed CeAgSn2 crystal.

a = 4.715 Å, b = 4.715 Å, c = 4.453 Å
α = 90.00°, β = 90.00°, γ = 90.00°
Element x y z (fractional)
Ce: 0.000 0.000 0.000
Ag: 0.500 0.500 0.000
Sn: 0.000 0.500 0.500
Sn: 0.500 0.000 0.500

Values from the calculation:
As for the size of the total moment: 0.19 μB/atom. As for the space-group type: P4/mmm, No. 123. As for the formation energy: -435 meV/atom. Its total DFT energy (no corrections) is -4.6329 eV per atom. As for the crystal system: tetragonal.

DFT (PBE) results for a relaxed Tm8SnPb2 crystal.

a = 10.048 Å, b = 10.048 Å, c = 6.793 Å
α = 102.24°, β = 102.24°, γ = 28.85°
Element x y z (fractional)
Tm: 0.021 0.021 0.259
Tm: 0.216 0.216 0.839
Tm: 0.343 0.343 0.483
Tm: 0.410 0.410 0.021
Tm: 0.590 0.590 0.979
Tm: 0.657 0.657 0.517
Tm: 0.784 0.784 0.161
Tm: 0.979 0.979 0.741
Sn: 0.500 0.500 0.500
Pb: 0.181 0.181 0.273
Pb: 0.819 0.819 0.727

Values from the calculation:
As for the size of the total moment: 0.00 μB/atom. As for the space-group type: C2/m, No. 12. As for the formation energy: -251 meV/atom. Its total DFT energy (no corrections) is -4.5414 eV per atom. As for the crystal system: monoclinic.

DFT (PBE) results for a relaxed Sc2AuCl crystal.

a = 3.294 Å, b = 3.492 Å, c = 7.505 Å
α = 90.00°, β = 90.00°, γ = 90.00°
Element x y z (fractional)
Sc: 0.000 0.000 0.218
Sc: 0.000 0.000 0.782
Au: 0.500 0.500 0.000
Cl: 0.500 0.000 0.500

Values from the calculation:
As for the size of the total moment: 0.00 μB/atom. As for the formation energy without anion corrections: -0.953 eV per atom. As for the space-group type: Pmmm, No. 47. Its total DFT energy (no corrections) is -5.4001 eV per atom. The calculation puts the energy above the most stable polymorph in this dataset at 0.29 kcal/mol of atoms. As for the crystal system: orthorhombic.

DFT (PBE) results for a relaxed Co3TcPb crystal.

a = 4.502 Å, b = 4.502 Å, c = 4.502 Å
α = 90.00°, β = 90.00°, γ = 90.00°
Element x y z (fractional)
Co: 0.000 0.000 0.500
Co: 0.000 0.500 0.000
Co: 0.500 0.000 0.000
Tc: 0.000 0.000 0.000
Pb: 0.500 0.500 0.500

Values from the calculation:
As for the size of the total moment: 0.54 μB/atom. As for the space-group type: Pm-3m, No. 221. As for the formation energy: 1212 meV/atom. Its total DFT energy (no corrections) is -5.8664 eV per atom. The calculation puts the energy above the most stable polymorph in this dataset at 0.00 kcal/mol of atoms. As for the crystal system: cubic.

DFT (PBE) results for a relaxed LaTeP2 crystal.

a = 4.004 Å, b = 4.004 Å, c = 6.076 Å
α = 90.00°, β = 90.00°, γ = 90.00°
Element x y z (fractional)
La: 0.000 0.000 0.000
Te: 0.500 0.500 0.762
P: 0.000 0.000 0.450
P: 0.500 0.500 0.324

Values from the calculation:
As for the size of the total moment: 0.00 μB/atom. As for the formation energy without anion corrections: -0.333 eV per atom. As for the space-group type: P4mm, No. 99. Its total DFT energy (no corrections) is -5.0554 eV per atom. As for the crystal system: tetragonal.

DFT (PBE) results for a relaxed MoPtW crystal.

a = 4.471 Å, b = 4.471 Å, c = 5.502 Å
α = 90.00°, β = 90.00°, γ = 120.00°
Element x y z (fractional)
Mo: 0.333 0.667 0.250
Mo: 0.667 0.333 0.750
Pt: 0.333 0.667 0.750
Pt: 0.667 0.333 0.250
W: 0.000 0.000 0.000
W: 0.000 0.000 0.500

Values from the calculation:
As for the size of the total moment: 0.00 μB/atom. As for the space-group type: P6_3/mmc, No. 194. As for the formation energy: -18 meV/atom. Its total DFT energy (no corrections) is -9.9599 eV per atom. The calculation puts the energy above the most stable polymorph in this dataset at 1.88 kcal/mol of atoms. As for the crystal system: hexagonal.

DFT (PBE) results for a relaxed PaH6Os crystal.

a = 4.564 Å, b = 4.564 Å, c = 4.564 Å
α = 58.13°, β = 58.13°, γ = 58.13°
Element x y z (fractional)
Pa: 0.000 0.000 0.000
H: 0.045 0.608 0.608
H: 0.392 0.392 0.955
H: 0.392 0.955 0.392
H: 0.608 0.045 0.608
H: 0.608 0.608 0.045
H: 0.955 0.392 0.392
Os: 0.500 0.500 0.500

Values from the calculation:
As for the size of the total moment: 0.13 μB/atom. As for the space-group type: R-3m, No. 166. Its total DFT energy (no corrections) is -5.3550 eV per atom. As for the crystal system: trigonal.